# 1
# PBEsol Te2IrW, optimized geometry
data_Te2IrW
_space_group_name_H-M_alt 'P 1'
_space_group_IT_number 1
_cell_length_a 3.222
_cell_length_b 4.573
_cell_length_c 5.511
_cell_angle_alpha 100.52
_cell_angle_beta 90.00
_cell_angle_gamma 110.63
loop_
_space_group_symop_operation_xyz
'x,y,z'
loop_
_atom_site_label
_atom_site_type_symbol
_atom_site_fract_x
_atom_site_fract_y
_atom_site_fract_z
Te1 Te 0.261 0.523 0.258
Te2 Te 0.739 0.477 0.742
Ir1 Ir 0.500 0.000 0.000
W1 W 0.000 0.000 0.500
# - magnetization (Bohr magnetons per cell) = 0.00
# - E_form (uncorrected) (eV per atom) = 0.58
# - symmetry = No. 12


# 2
# PBEsol LaSc5, optimized geometry
data_LaSc5
_space_group_name_H-M_alt 'P 1'
_space_group_IT_number 1
_cell_length_a 5.244
_cell_length_b 5.759
_cell_length_c 5.759
_cell_angle_alpha 120.00
_cell_angle_beta 90.00
_cell_angle_gamma 90.00
loop_
_space_group_symop_operation_xyz
'x,y,z'
loop_
_atom_site_label
_atom_site_type_symbol
_atom_site_fract_x
_atom_site_fract_y
_atom_site_fract_z
Sc1 Sc 0.000 0.333 0.667
Sc2 Sc 0.500 0.663 0.663
Sc3 Sc 0.000 0.667 0.333
Sc4 Sc 0.500 0.337 0.000
Sc5 Sc 0.500 0.000 0.337
La1 La 0.000 0.000 0.000
# - magnetization (Bohr magnetons per cell) = 0.01
# - excess energy over the best structure of this formula in the dataset (eV per formula unit) = 0.06
# - calculated formation energy (eV per atom) = 0.053
# - symmetry = No. 189


# 3
# PBEsol CoNiPt, optimized geometry
data_CoNiPt
_space_group_name_H-M_alt 'P 1'
_space_group_IT_number 1
_cell_length_a 2.624
_cell_length_b 2.624
_cell_length_c 5.590
_cell_angle_alpha 103.57
_cell_angle_beta 103.57
_cell_angle_gamma 90.00
loop_
_space_group_symop_operation_xyz
'x,y,z'
loop_
_atom_site_label
_atom_site_type_symbol
_atom_site_fract_x
_atom_site_fract_y
_atom_site_fract_z
Pt1 Pt 0.335 0.335 0.670
Ni1 Ni 0.657 0.657 0.315
Co1 Co 0.007 0.007 0.015
# - magnetization (Bohr magnetons per cell) = 2.78
# - excess energy over the best structure of this formula in the dataset (eV per formula unit) = 0.10
# - calculated formation energy (eV per atom) = -0.036
# - symmetry = No. 107